Entry 1:
Ac2DyAu2 | PBE | optimized geometry

Calculated values
The total energy is -45.17 eV/cell. The formation energy is -0.64 eV/atom. As for the density of states at the Fermi level: 10.986 states/eV/cell.

```
data_Ac2DyAu2
_chemical_formula_sum 'Ac4 Dy2 Au4'
_cell_length_a 4.153
_cell_length_b 7.217
_cell_length_c 10.458
_cell_angle_alpha 90.00
_cell_angle_beta 90.00
_cell_angle_gamma 90.00
_space_group_name_H-M_alt 'I m m m'
_space_group_IT_number 71
_space_group_name_Hall '-I 2 2'
loop_
_atom_site_label
_atom_site_fract_x
_atom_site_fract_y
_atom_site_fract_z
Ac1 0.000 0.000 0.199
Dy1 0.000 0.500 0.000
Au1 0.000 0.286 0.500
```

Entry 2:
CeCrI2 | PBE | optimized geometry

Calculated values
The total energy is -56.07 eV/cell. The calculation puts the uncorrected formation energy at -0.03 eV/f.u. As for the density of states at the Fermi level: 27.986 states/eV/cell.

```
data_CeCrI2
_chemical_formula_sum 'Ce3 Cr3 I6'
_cell_length_a 4.0472
_cell_length_b 4.0472
_cell_length_c 29.4074
_cell_angle_alpha 90.00
_cell_angle_beta 90.00
_cell_angle_gamma 120.00
_space_group_name_H-M_alt 'R -3 m'
_space_group_IT_number 166
_space_group_name_Hall '-R 3 2"'
loop_
_atom_site_label
_atom_site_fract_x
_atom_site_fract_y
_atom_site_fract_z
Ce1 0.0000 0.0000 0.0000
Cr1 0.0000 0.0000 0.5000
I1 0.0000 0.0000 0.1076
```

Entry 3:
TaTlHg2 | PBE | optimized geometry

Calculated values
The total energy is -24.53 eV/cell. The formation energy is 0.64 eV/atom. As for the density of states at the Fermi level: 7.724 states/eV/cell.

```
data_TaTlHg2
_chemical_formula_sum 'Ta2 Tl2 Hg4'
_cell_length_a 4.212
_cell_length_b 4.212
_cell_length_c 9.853
_cell_angle_alpha 90.00
_cell_angle_beta 90.00
_cell_angle_gamma 90.00
_space_group_name_H-M_alt 'I -4 m 2'
_space_group_IT_number 119
_space_group_name_Hall 'I -4 -2'
loop_
_atom_site_label
_atom_site_fract_x
_atom_site_fract_y
_atom_site_fract_z
Ta1 0.000 0.000 0.000
Tl1 0.000 0.500 0.750
Hg1 0.000 0.000 0.500
Hg2 0.000 0.500 0.250
```

Entry 4:
Cd4TcW | PBE | optimized geometry

Calculated values
The total energy is -87.27 eV/cell. The formation energy is 0.86 eV/atom. As for the density of states at the Fermi level: 14.666 states/eV/cell.

```
data_Cd4TcW
_chemical_formula_sum 'Cd16 Tc4 W4'
_cell_length_a 7.637
_cell_length_b 7.637
_cell_length_c 7.637
_cell_angle_alpha 90.00
_cell_angle_beta 90.00
_cell_angle_gamma 90.00
_space_group_name_H-M_alt 'F -4 3 m'
_space_group_IT_number 216
_space_group_name_Hall 'F -4 2 3'
loop_
_atom_site_label
_atom_site_fract_x
_atom_site_fract_y
_atom_site_fract_z
Cd1 0.125 0.125 0.125
Tc1 0.250 0.250 0.750
W1 0.000 0.000 0.500
```